Version i
The following is a DFT calculation (PBE-GGA) of a geometry-optimized YGeTe3Au structure.

Unit cell a=8.433 b=4.298 c=10.435 alpha=90.00 beta=107.28 gamma=90.00
Space group P2_1/m (No. 11)
Inequivalent atoms, fractional coordinates:
Y  0.215  0.250  0.180 x2
Ge  0.148  0.750  0.696 x2
Te  0.080  0.250  0.866 x2
Te  0.186  0.250  0.480 x2
Te  0.468  0.750  0.186 x2
Au  0.358  0.750  0.405 x2

Values from the calculation:
As for the crystal system: monoclinic.

***

Version ii
The following is a DFT calculation (PBE-GGA) of a geometry-optimized YGeTe3Au structure.

Unit cell a=4.147 b=14.932 c=11.308 alpha=90.00 beta=90.00 gamma=90.00
Space group Cmcm (No. 63)
Inequivalent atoms, fractional coordinates:
Y  0.000  0.000  0.000 x4
Ge  0.000  0.176  0.250 x4
Te  0.000  0.092  0.750 x4
Te  0.000  0.351  0.553 x8
Au  0.000  0.466  0.750 x4

Values from the calculation:
As for the crystal system: orthorhombic.

***

Relative to the most stable structure, the computed energies are version i 0; version ii 6, all in meV/atom.

***

Version i
The following is a DFT calculation (PBE-GGA) of a geometry-optimized NaH3Au structure.

Unit cell a=9.397 b=5.317 c=5.321 alpha=90.00 beta=124.38 gamma=90.00
Space group C2/m (No. 12)
Inequivalent atoms, fractional coordinates:
Na  0.250  0.000  0.249 x4
H  0.000  0.232  0.268 x8
H  0.221  0.500  0.220 x4
Au  0.000  0.000  0.500 x2
Au  0.000  0.500  0.000 x2

Values from the calculation:
As for the crystal system: monoclinic.

***

Version ii
The following is a DFT calculation (PBE-GGA) of a geometry-optimized NaH3Au structure.

Unit cell a=3.541 b=5.560 c=7.451 alpha=100.37 beta=101.92 gamma=106.49
Space group P1 (No. 1)
Inequivalent atoms, fractional coordinates:
Na  0.000  0.000  0.000 x1
Na  0.003  0.504  0.501 x1
H  0.058  0.049  0.547 x1
H  0.320  0.339  0.276 x1
H  0.492  0.874  0.125 x1
H  0.503  0.119  0.870 x1
H  0.682  0.660  0.726 x1
H  0.896  0.963  0.455 x1
Au  0.396  0.599  0.188 x1
Au  0.602  0.398  0.810 x1

Values from the calculation:
As for the crystal system: triclinic.

***

Relative to the most stable structure, the computed energies are version i 25; version ii 0, all in meV/atom.

***

Version i
The following is a DFT calculation (PBE-GGA) of a geometry-optimized HfInTe3Au structure.

Unit cell a=4.078 b=15.285 c=10.858 alpha=90.00 beta=90.00 gamma=90.00
Space group Cmcm (No. 63)
Inequivalent atoms, fractional coordinates:
Hf  0.000  0.000  0.000 x4
In  0.000  0.231  0.250 x4
Te  0.000  0.082  0.750 x4
Te  0.000  0.363  0.537 x8
Au  0.000  0.460  0.750 x4

Values from the calculation:
As for the crystal system: orthorhombic.

***

Version ii
The following is a DFT calculation (PBE-GGA) of a geometry-optimized HfInTe3Au structure.

Unit cell a=13.248 b=4.139 c=12.595 alpha=90.00 beta=90.00 gamma=90.00
Space group Pnma (No. 62)
Inequivalent atoms, fractional coordinates:
Hf  0.043  0.250  0.174 x4
In  0.186  0.250  0.493 x4
Te  0.009  0.750  0.335 x4
Te  0.083  0.250  0.933 x4
Te  0.248  0.750  0.677 x4
Au  0.221  0.750  0.333 x4

Values from the calculation:
As for the crystal system: orthorhombic.

***

Relative to the most stable structure, the computed energies are version i 0; version ii 51, all in meV/atom.

***

Version i
The following is a DFT calculation (PBE-GGA) of a geometry-optimized KHfAu structure.

Unit cell a=6.869 b=6.869 c=6.869 alpha=90.00 beta=90.00 gamma=90.00
Space group F-43m (No. 216)
Inequivalent atoms, fractional coordinates:
K  0.000  0.000  0.000 x4
Hf  0.250  0.250  0.250 x4
Au  0.250  0.250  0.750 x4

Values from the calculation:
As for the crystal system: cubic.

***

Version ii
The following is a DFT calculation (PBE-GGA) of a geometry-optimized KHfAu structure.

Unit cell a=6.987 b=6.987 c=6.987 alpha=90.00 beta=90.00 gamma=90.00
Space group F-43m (No. 216)
Inequivalent atoms, fractional coordinates:
K  0.000  0.000  0.000 x4
Hf  0.000  0.000  0.500 x4
Au  0.250  0.250  0.750 x4

Values from the calculation:
As for the crystal system: cubic.

***

Relative to the most stable structure, the computed energies are version i 774; version ii 0, all in meV/atom.

***

Version i
The following is a DFT calculation (PBE-GGA) of a geometry-optimized KHfAuS3 structure.

Unit cell a=3.802 b=14.672 c=9.998 alpha=90.00 beta=90.00 gamma=90.00
Space group Cmcm (No. 63)
Inequivalent atoms, fractional coordinates:
K  0.000  0.237  0.250 x4
Hf  0.000  0.500  0.000 x4
Au  0.000  0.070  0.750 x4
S  0.000  0.120  0.523 x8
S  0.000  0.442  0.750 x4

Values from the calculation:
As for the crystal system: orthorhombic.

***

Version ii
The following is a DFT calculation (PBE-GGA) of a geometry-optimized KHfAuS3 structure.

Unit cell a=8.043 b=3.804 c=9.785 alpha=90.00 beta=110.40 gamma=90.00
Space group P2_1/m (No. 11)
Inequivalent atoms, fractional coordinates:
K  0.248  0.250  0.213 x2
Hf  0.185  0.750  0.660 x2
Au  0.417  0.250  0.888 x2
S  0.048  0.750  0.374 x2
S  0.218  0.750  0.927 x2
S  0.391  0.250  0.632 x2

Values from the calculation:
As for the crystal system: monoclinic.

***

Version iii
The following is a DFT calculation (PBE-GGA) of a geometry-optimized KHfAuS3 structure.

Unit cell a=11.947 b=3.948 c=12.049 alpha=90.00 beta=90.00 gamma=90.00
Space group Pnma (No. 62)
Inequivalent atoms, fractional coordinates:
K  0.160  0.250  0.026 x4
Hf  0.041  0.250  0.347 x4
Au  0.211  0.750  0.249 x4
S  0.016  0.750  0.194 x4
S  0.076  0.250  0.568 x4
S  0.250  0.250  0.357 x4

Values from the calculation:
As for the crystal system: orthorhombic.

***

Relative to the most stable structure, the computed energies are version i 32; version ii 0; version iii 176, all in meV/atom.

***

Version i
The following is a DFT calculation (PBE-GGA) of a geometry-optimized LiHfPbAu structure.

Unit cell a=6.873 b=6.873 c=6.873 alpha=90.00 beta=90.00 gamma=90.00
Space group F-43m (No. 216)
Inequivalent atoms, fractional coordinates:
Li  0.000  0.000  0.000 x4
Hf  0.250  0.250  0.250 x4
Pb  0.000  0.000  0.500 x4
Au  0.250  0.250  0.750 x4

Values from the calculation:
As for the crystal system: cubic.

***

Version ii
The following is a DFT calculation (PBE-GGA) of a geometry-optimized LiHfPbAu structure.

Unit cell a=6.875 b=6.875 c=6.875 alpha=90.00 beta=90.00 gamma=90.00
Space group F-43m (No. 216)
Inequivalent atoms, fractional coordinates:
Li  0.000  0.000  0.000 x4
Hf  0.250  0.250  0.750 x4
Pb  0.250  0.250  0.250 x4
Au  0.000  0.000  0.500 x4

Values from the calculation:
As for the crystal system: cubic.

***

Version iii
The following is a DFT calculation (PBE-GGA) of a geometry-optimized LiHfPbAu structure.

Unit cell a=6.863 b=6.863 c=6.863 alpha=90.00 beta=90.00 gamma=90.00
Space group F-43m (No. 216)
Inequivalent atoms, fractional coordinates:
Li  0.000  0.000  0.000 x4
Hf  0.000  0.000  0.500 x4
Pb  0.250  0.250  0.250 x4
Au  0.250  0.250  0.750 x4

Values from the calculation:
As for the crystal system: cubic.

***

Relative to the most stable structure, the computed energies are version i 393; version ii 287; version iii 0, all in meV/atom.

***

Version i
The following is a DFT calculation (PBE-GGA) of a geometry-optimized LiHfAuS3 structure.

Unit cell a=3.714 b=13.157 c=9.880 alpha=90.00 beta=90.00 gamma=90.00
Space group Cmcm (No. 63)
Inequivalent atoms, fractional coordinates:
Li  0.000  0.183  0.250 x4
Hf  0.000  0.500  0.000 x4
Au  0.000  0.144  0.750 x4
S  0.000  0.136  0.515 x8
S  0.000  0.448  0.750 x4

Values from the calculation:
As for the crystal system: orthorhombic.

***

Version ii
The following is a DFT calculation (PBE-GGA) of a geometry-optimized LiHfAuS3 structure.

Unit cell a=13.471 b=3.690 c=10.408 alpha=90.00 beta=90.00 gamma=90.00
Space group Pnma (No. 62)
Inequivalent atoms, fractional coordinates:
Li  0.228  0.250  0.116 x4
Hf  0.029  0.250  0.838 x4
Au  0.096  0.250  0.480 x4
S  0.079  0.250  0.257 x4
S  0.109  0.750  0.975 x4
S  0.166  0.250  0.684 x4

Values from the calculation:
As for the crystal system: orthorhombic.

***

Version iii
The following is a DFT calculation (PBE-GGA) of a geometry-optimized LiHfAuS3 structure.

Unit cell a=8.176 b=3.637 c=8.605 alpha=90.00 beta=101.79 gamma=90.00
Space group P2_1/m (No. 11)
Inequivalent atoms, fractional coordinates:
Li  0.146  0.250  0.179 x2
Hf  0.180  0.750  0.653 x2
Au  0.379  0.250  0.970 x2
S  0.060  0.750  0.353 x2
S  0.176  0.750  0.955 x2
S  0.375  0.250  0.631 x2

Values from the calculation:
As for the crystal system: monoclinic.

***

Relative to the most stable structure, the computed energies are version i 73; version ii 0; version iii 52, all in meV/atom.

***

Version i
The following is a DFT calculation (PBE-GGA) of a geometry-optimized LiHfAu3S4 structure.

Unit cell a=5.620 b=8.548 c=8.985 alpha=90.00 beta=91.83 gamma=90.00
Space group P2_1/m (No. 11)
Inequivalent atoms, fractional coordinates:
Li  0.204  0.250  0.273 x2
Hf  0.144  0.750  0.253 x2
Au  0.318  0.079  0.911 x4
Au  0.358  0.250  0.618 x2
S  0.023  0.250  0.015 x2
S  0.023  0.750  0.504 x2
S  0.398  0.517  0.271 x4

Values from the calculation:
As for the crystal system: monoclinic.

***

Version ii
The following is a DFT calculation (PBE-GGA) of a geometry-optimized LiHfAu3S4 structure.

Unit cell a=5.947 b=5.947 c=5.947 alpha=90.00 beta=90.00 gamma=90.00
Space group P-43m (No. 215)
Inequivalent atoms, fractional coordinates:
Li  0.000  0.000  0.000 x1
Hf  0.500  0.500  0.500 x1
Au  0.000  0.500  0.500 x3
S  0.260  0.260  0.260 x4

Values from the calculation:
As for the crystal system: cubic.

***

Relative to the most stable structure, the computed energies are version i 27; version ii 0, all in meV/atom.